! PuScO6, optimized geometry, DFT PBE; values from VASP
! * theoretical density: 5.2 g cm⁻³
! * SG: C2/m
! * electronic total energy: -8.35 eV/atom
! * magnetic moment: 0.9 μB/cell
! * formation energy (no corrections): -2.045 eV/atom
&SYSTEM
  ibrav = 0, nat = 8, ntyp = 3
/
ATOMIC_SPECIES
Pu 244.00 Pu.upf
Sc 44.96 Sc.upf
O 16.00 O.upf
CELL_PARAMETERS angstrom
2.589 -4.685 0.000
2.589 4.685 0.000
-1.167 0.000 5.031
ATOMIC_POSITIONS angstrom
Pu 0.000 0.000 0.000
Sc 2.006 0.000 2.515
O 0.914 1.245 1.178
O 0.379 0.000 3.828
O 0.914 -1.245 1.178
O 3.097 1.245 3.853
O 3.633 0.000 1.203
O 3.097 -1.245 3.853